A | The following is a PBE calculation of a relaxed structure of Np2TlS4, from the Alexandria database.

Unit cell a=8.3525 b=8.3550 c=8.3530 alpha=119.95 beta=119.96 gamma=90.07
Closest atoms and distances in Å follow each position.
Positions (direct):
1 Np 0.6250 0.3750 0.7500  6 S 2.74
2 Np 0.6250 0.8750 0.2500  6 S 2.74
3 Np 0.6250 0.3750 0.2500  6 S 2.74
4 Np 0.1250 0.3750 0.7500  6 S 2.74
5 Tl 0.2502 0.7503 0.5002  4 S 2.96
6 Tl 0.9998 0.9997 0.9998  4 S 2.96
7 S 0.8554 0.1451 0.2897  3 Np 2.74, 1 Tl 2.96
8 S 0.3946 0.6049 0.2103  3 Np 2.74, 1 Tl 2.96
9 S 0.8553 0.5656 0.7102  3 Np 2.74, 1 Tl 2.96
10 S 0.8550 0.1446 0.7103  3 Np 2.74, 1 Tl 2.96
11 S 0.4342 0.1446 0.2897  3 Np 2.74, 1 Tl 2.96
12 S 0.3947 0.1844 0.7898  3 Np 2.74, 1 Tl 2.96
13 S 0.3950 0.6054 0.7897  3 Np 2.74, 1 Tl 2.96
14 S 0.8158 0.6054 0.2103  3 Np 2.74, 1 Tl 2.96

Calculated values
DOS at the Fermi energy: 19.2 states/eV/f.u.

***

B | The following is a PBE calculation of a relaxed structure of Np2TlS4, from the Alexandria database.

Unit cell a=7.3901 b=7.3902 c=7.3901 alpha=109.62 beta=109.18 gamma=109.62
Closest atoms and distances in Å follow each position.
Positions (direct):
1 Np 0.8750 0.1145 0.4895  8 S 2.73-3.05
2 Np 0.5105 0.3855 0.6250  8 S 2.73-3.05
3 Np 0.3750 0.8855 0.7605  8 S 2.73-3.05
4 Np 0.2395 0.6145 0.1250  8 S 2.73-3.05
5 Tl 0.0000 0.0000 0.0000  8 S 3.03-3.17
6 Tl 0.7500 0.5000 0.2500  8 S 3.03-3.17
7 S 0.1626 0.9192 0.4040  4 Np 2.73-3.05, 1 S 3.02, 1 Tl 3.03
8 S 0.5960 0.7586 0.5152  4 Np 2.73-3.05, 1 S 3.02, 1 Tl 3.03
9 S 0.9934 0.5808 0.7348  4 Np 2.73-3.05, 1 S 3.02, 1 Tl 3.03
10 S 0.2652 0.2586 0.8460  4 Np 2.73-3.05, 1 S 3.02, 1 Tl 3.03
11 S 0.5874 0.7414 0.0066  4 Np 2.73-3.05, 1 S 3.02, 1 Tl 3.03
12 S 0.7566 0.2414 0.8374  4 Np 2.73-3.05, 1 S 3.02, 1 Tl 3.03
13 S 0.4848 0.0808 0.2434  4 Np 2.73-3.05, 1 S 3.02, 1 Tl 3.03
14 S 0.1540 0.4192 0.4126  4 Np 2.73-3.05, 1 S 3.02, 1 Tl 3.03

Calculated values
DOS at the Fermi energy: 17.6 states/eV/f.u.

***

Which of them is the least stable? Correct choice: B.

***

A | The following is a PBE calculation of a relaxed structure of Np4TlS6, from the Alexandria database.

Unit cell a=3.9607 b=6.8565 c=20.5267 alpha=90.00 beta=90.00 gamma=106.79
Closest atoms and distances in Å follow each position.
Positions (direct):
1 Np 0.8649 0.7299 0.5390  6 S 2.69-2.80
2 Np 0.4033 0.8066 0.1267  6 S 2.64-2.89
3 Np 0.1351 0.2701 0.4610  6 S 2.69-2.80
4 Np 0.5967 0.1934 0.8733  6 S 2.64-2.89
5 Np 0.8649 0.7299 0.9610  6 S 2.69-2.80
6 Np 0.1351 0.2701 0.0390  6 S 2.69-2.80
7 Np 0.5967 0.1934 0.6267  6 S 2.64-2.89
8 Np 0.4033 0.8066 0.3733  6 S 2.64-2.89
9 Tl 0.6665 0.3330 0.2500  6 S 3.08-3.30
10 Tl 0.3335 0.6670 0.7500  6 S 3.08-3.30
11 S 0.5000 0.0000 0.0000  6 Np 2.78-2.89
12 S 0.5000 0.0000 0.5000  6 Np 2.78-2.89
13 S 0.0342 0.0684 0.3469  3 Np 2.68-2.69
14 S 0.9658 0.9316 0.6531  3 Np 2.68-2.69
15 S 0.9658 0.9316 0.8469  3 Np 2.68-2.69
16 S 0.0342 0.0684 0.1531  3 Np 2.68-2.69
17 S 0.7673 0.5346 0.4177  5 Np 2.78-2.82
18 S 0.2327 0.4654 0.5823  5 Np 2.78-2.82
19 S 0.2327 0.4654 0.9177  5 Np 2.78-2.82
20 S 0.7673 0.5346 0.0823  5 Np 2.78-2.82
21 S 0.3458 0.6917 0.2500  2 Np 2.64
22 S 0.6542 0.3083 0.7500  2 Np 2.64

Calculated values
DOS at the Fermi energy: 39.0 states/eV/f.u.

***

B | The following is a PBE calculation of a relaxed structure of Np4TlS6, from the Alexandria database.

Unit cell a=7.1816 b=7.1816 c=7.1816 alpha=95.49 beta=116.88 gamma=116.88
Closest atoms and distances in Å follow each position.
Positions (direct):
1 Np 0.0000 0.1934 0.6050  6 S 2.67-2.87
2 Np 0.5884 0.3950 0.3950  6 S 2.67-2.87
3 Np 0.0000 0.6050 0.1934  6 S 2.67-2.87
4 Np 0.4116 0.8066 0.8066  6 S 2.67-2.87
5 Tl 0.0000 0.0000 0.0000  4 Np 3.28, 4 S 3.49
6 S 0.0000 0.8220 0.5311  4 Np 2.67-2.78
7 S 0.0000 0.5311 0.8220  4 Np 2.67-2.78
8 S 0.7091 0.1780 0.1780  4 Np 2.67-2.78
9 S 0.5000 0.0000 0.5000  4 Np 2.87
10 S 0.2909 0.4689 0.4689  4 Np 2.67-2.78
11 S 0.5000 0.5000 0.0000  4 Np 2.87

Calculated values
DOS at the Fermi energy: 32.4 states/eV/f.u.

***

Which of them is the least stable? Correct choice: B.

***

A | The following is a PBE calculation of a relaxed structure of TmNpS2, from the Alexandria database.

Unit cell a=3.8786 b=3.8786 c=6.7060 alpha=73.19 beta=73.19 gamma=60.00
Closest atoms and distances in Å follow each position.
Positions (direct):
1 Np 0.5000 0.5000 0.5000  6 S 2.76
2 S 0.2521 0.2521 0.2438  3 Tm 2.72, 3 Np 2.76
3 S 0.7479 0.7479 0.7562  3 Tm 2.72, 3 Np 2.76
4 Tm 0.0000 0.0000 0.0000  6 S 2.72

Calculated values
DOS at the Fermi energy: 8.4 states/eV/f.u.

***

B | The following is a PBE calculation of a relaxed structure of TmNpS2, from the Alexandria database.

Unit cell a=3.8460 b=3.8460 c=12.9113 alpha=90.00 beta=90.00 gamma=120.00
Closest atoms and distances in Å follow each position.
Positions (direct):
1 Tm 0.6667 0.3333 0.2500  6 S 2.75
2 Tm 0.3333 0.6667 0.7500  6 S 2.75
3 Np 0.0000 0.0000 0.5000  6 S 2.74
4 Np 0.0000 0.0000 0.0000  6 S 2.74
5 S 0.3333 0.6667 0.3756  3 Np 2.74, 3 Tm 2.75
6 S 0.6667 0.3333 0.8756  3 Np 2.74, 3 Tm 2.75
7 S 0.6667 0.3333 0.6244  3 Np 2.74, 3 Tm 2.75
8 S 0.3333 0.6667 0.1244  3 Np 2.74, 3 Tm 2.75

Calculated values
DOS at the Fermi energy: 7.6 states/eV/f.u.

***

Which of them is the least stable? Correct choice: B.

***

A | The following is a PBE calculation of a relaxed structure of Tm3NpS6, from the Alexandria database.

Unit cell a=4.1317 b=8.1544 c=8.1544 alpha=110.22 beta=90.00 gamma=90.00
Closest atoms and distances in Å follow each position.
Positions (direct):
1 Tm 0.5000 0.5000 0.0000  6 S 2.69-2.74
2 Tm 0.0000 0.0000 0.0000  4 S 2.58
3 Tm 0.5000 0.0000 0.5000  6 S 2.69-2.74
4 Np 0.0000 0.5000 0.5000  4 S 2.81
5 S 0.0000 0.0865 0.3354  3 Tm 2.58-2.69
6 S 0.0000 0.9135 0.6646  3 Tm 2.58-2.69
7 S 0.0000 0.3354 0.0865  3 Tm 2.58-2.69
8 S 0.0000 0.6646 0.9135  3 Tm 2.58-2.69
9 S 0.5000 0.6420 0.3580  2 Tm 2.74, 2 Np 2.81
10 S 0.5000 0.3580 0.6420  2 Tm 2.74, 2 Np 2.81

Calculated values
DOS at the Fermi energy: 10.3 states/eV/f.u.

***

B | The following is a PBE calculation of a relaxed structure of Tm3NpS6, from the Alexandria database.

Unit cell a=3.9076 b=10.9582 c=11.1481 alpha=108.73 beta=90.00 gamma=90.00
Closest atoms and distances in Å follow each position.
Positions (direct):
1 Tm 0.7500 0.4359 0.8332  6 S 2.64-2.74
2 Tm 0.2500 0.5641 0.1668  6 S 2.64-2.74
3 Tm 0.7500 0.6799 0.5019  7 S 2.65-2.90
4 Tm 0.2500 0.3201 0.4981  7 S 2.65-2.90
5 Tm 0.7500 0.1593 0.0838  6 S 2.63-2.74
6 Tm 0.2500 0.8407 0.9162  6 S 2.63-2.74
7 Np 0.7500 0.0482 0.6912  8 S 2.82-2.99
8 Np 0.2500 0.9518 0.3088  8 S 2.82-2.99
9 S 0.7500 0.4780 0.6129  4 Tm 2.64-2.86
10 S 0.2500 0.5220 0.3871  4 Tm 2.64-2.86
11 S 0.7500 0.9184 0.0977  3 Tm 2.69-2.74, 2 Np 2.99
12 S 0.2500 0.0816 0.9023  3 Tm 2.69-2.74, 2 Np 2.99
13 S 0.7500 0.3961 0.0623  4 Tm 2.68-2.73
14 S 0.2500 0.6039 0.9377  4 Tm 2.68-2.73
15 S 0.7500 0.7410 0.2743  3 Tm 2.74-2.82, 2 Np 2.96
16 S 0.2500 0.2590 0.7257  3 Tm 2.74-2.82, 2 Np 2.96
17 S 0.7500 0.1155 0.4616  3 Np 2.82-2.88, 2 Tm 2.90
18 S 0.2500 0.8845 0.5384  3 Np 2.82-2.88, 2 Tm 2.90
19 S 0.7500 0.8057 0.7504  3 Tm 2.63-2.67, 1 Np 2.94
20 S 0.2500 0.1943 0.2496  3 Tm 2.63-2.67, 1 Np 2.94

Calculated values
DOS at the Fermi energy: 8.0 states/eV/f.u.

***

Which of them is the least stable? Correct choice: A.

***

A | The following is a PBE calculation of a relaxed structure of NpUS2, from the Alexandria database.

Unit cell a=3.8512 b=3.8512 c=6.7906 alpha=73.53 beta=73.53 gamma=60.00
Closest atoms and distances in Å follow each position.
Positions (direct):
1 Np 0.0000 0.0000 0.0000  6 S 2.73
2 S 0.7491 0.7491 0.7528  3 Np 2.73, 3 U 2.75
3 S 0.2509 0.2509 0.2472  3 Np 2.73, 3 U 2.75
4 U 0.5000 0.5000 0.5000  6 S 2.75

Calculated values
DOS at the Fermi energy: 10.3 states/eV/f.u.

***

B | The following is a PBE calculation of a relaxed structure of NpUS2, from the Alexandria database.

Unit cell a=4.0498 b=3.7350 c=11.1544 alpha=99.64 beta=90.00 gamma=90.00
Closest atoms and distances in Å follow each position.
Positions (direct):
1 Np 0.2500 0.1875 0.3749  6 S 2.74-2.78
2 Np 0.7500 0.8125 0.6251  6 S 2.74-2.78
3 U 0.2500 0.4364 0.8728  5 S 2.73-2.76
4 U 0.7500 0.5636 0.1272  5 S 2.73-2.76
5 S 0.7500 0.6879 0.3758  1 U 2.73, 5 Np 2.74-2.75
6 S 0.2500 0.3121 0.6242  1 U 2.73, 5 Np 2.74-2.75
7 S 0.7500 0.9390 0.8779  4 U 2.76, 1 Np 2.78
8 S 0.2500 0.0610 0.1221  4 U 2.76, 1 Np 2.78

Calculated values
DOS at the Fermi energy: 11.4 states/eV/f.u.

***

C | The following is a PBE calculation of a relaxed structure of NpUS2, from the Alexandria database.

Unit cell a=3.4024 b=4.8023 c=4.8023 alpha=90.00 beta=90.00 gamma=90.00
Closest atoms and distances in Å follow each position.
Positions (direct):
1 Np 0.5000 0.0000 0.0000  8 S 2.94
2 S 0.0000 0.0000 0.5000  4 U 2.94, 4 Np 2.94
3 S 0.0000 0.5000 0.0000  4 Np 2.94, 4 U 2.94
4 U 0.5000 0.5000 0.5000  8 S 2.94

Calculated values
DOS at the Fermi energy: 8.2 states/eV/f.u.

***

Which of them is the least stable? Correct choice: C.

***

A | The following is a PBE calculation of a relaxed structure of NpU2S6, from the Alexandria database.

Unit cell a=5.0536 b=7.1974 c=7.5962 alpha=72.77 beta=70.57 gamma=69.45
Closest atoms and distances in Å follow each position.
Positions (direct):
1 Np 0.0000 0.5000 0.5000  8 S 2.78-2.95
2 U 0.1818 0.7444 0.8919  6 S 2.52-2.75
3 U 0.8182 0.2556 0.1081  6 S 2.52-2.75
4 S 0.7504 0.6310 0.8681  3 U 2.66-2.75, 1 Np 2.95
5 S 0.2496 0.3690 0.1319  3 U 2.66-2.75, 1 Np 2.95
6 S 0.9606 0.8556 0.2233  2 U 2.63-2.65, 1 Np 2.78
7 S 0.3740 0.7018 0.5502  1 U 2.52
8 S 0.0394 0.1444 0.7767  2 U 2.63-2.65, 1 Np 2.78
9 S 0.6260 0.2982 0.4498  1 U 2.52

Calculated values
DOS at the Fermi energy: 22.6 states/eV/f.u.

***

B | The following is a PBE calculation of a relaxed structure of NpU2S6, from the Alexandria database.

Unit cell a=4.0691 b=7.2336 c=7.2336 alpha=120.00 beta=90.00 gamma=90.00
Closest atoms and distances in Å follow each position.
Positions (direct):
1 Np 0.5000 0.0000 0.0000  6 S 2.73
2 U 0.2572 0.6667 0.3333  9 S 2.81-2.84
3 U 0.7428 0.3333 0.6667  9 S 2.81-2.84
4 S 0.2448 0.6179 0.6998  1 Np 2.73, 3 U 2.81-2.84
5 S 0.2448 0.0819 0.3821  1 Np 2.73, 3 U 2.81-2.84
6 S 0.2448 0.3002 0.9181  1 Np 2.73, 3 U 2.81-2.84
7 S 0.7552 0.3821 0.3002  1 Np 2.73, 3 U 2.81-2.84
8 S 0.7552 0.9181 0.6179  1 Np 2.73, 3 U 2.81-2.84
9 S 0.7552 0.6998 0.0819  1 Np 2.73, 3 U 2.81-2.84

Calculated values
DOS at the Fermi energy: 20.9 states/eV/f.u.

***

Which of them is the least stable? Correct choice: A.